Entry 1:
Below is a geometry-optimized CaB3 structure, with properties calculated at the PBE level.

Lattice parameters (Å, degrees): 3.0086 5.8497 10.0576 90.00 90.00 90.00
Closest atoms and distances in Å follow each position.
Positions (direct):
1 Ca 0.7500 0.2502 0.9128  15 B 2.71-2.98, 2 Ca 3.01
2 Ca 0.2500 0.2498 0.4128  15 B 2.71-2.98, 2 Ca 3.01
3 Ca 0.2500 0.7498 0.0872  15 B 2.71-2.98, 2 Ca 3.01
4 Ca 0.7500 0.7502 0.5872  15 B 2.71-2.98, 2 Ca 3.01
5 B 0.7500 0.2504 0.6429  4 B 1.79
6 B 0.2500 0.2496 0.1429  4 B 1.79
7 B 0.2500 0.7496 0.3571  4 B 1.79
8 B 0.7500 0.7504 0.8571  4 B 1.79
9 B 0.7500 0.6065 0.3074  4 B 1.67-1.79
10 B 0.2500 0.8935 0.8074  4 B 1.67-1.79
11 B 0.2500 0.3935 0.6926  4 B 1.67-1.79
12 B 0.7500 0.1065 0.1926  4 B 1.67-1.79
13 B 0.7500 0.8927 0.3074  4 B 1.67-1.79
14 B 0.2500 0.6073 0.8074  4 B 1.67-1.79
15 B 0.2500 0.1073 0.6926  4 B 1.67-1.79
16 B 0.7500 0.3927 0.1926  4 B 1.67-1.79

For the calculated formation energy, the calculation gives -0.76 eV/f.u. As for the density: 2.721 Mg/m³. The calculated volume is 11.06 Å³ per atom.

=====

Entry 2:
Below is a geometry-optimized SmHo2Mg3 structure, with properties calculated at the PBE level.

Lattice parameters (Å, degrees): 3.7944 3.7944 11.4168 90.00 90.00 90.00
Closest atoms and distances in Å follow each position.
Positions (direct):
1 Sm 0.5000 0.5000 0.5000  8 Mg 3.33
2 Ho 0.5000 0.5000 0.8363  8 Mg 3.27
3 Ho 0.5000 0.5000 0.1637  8 Mg 3.27
4 Mg 0.0000 0.0000 0.0000  8 Ho 3.27
5 Mg 0.0000 0.0000 0.6727  4 Ho 3.27, 4 Sm 3.33
6 Mg 0.0000 0.0000 0.3273  4 Ho 3.27, 4 Sm 3.33

For the calculated formation energy, the calculation gives -0.49 eV/f.u. As for the density: 5.588 Mg/m³. The calculated volume is 27.40 Å³ per atom.

=====

Entry 3:
Below is a geometry-optimized SmPa3N6 structure, with properties calculated at the PBE level.

Lattice parameters (Å, degrees): 3.5817 9.3688 9.2625 104.94 90.00 90.00
Closest atoms and distances in Å follow each position.
Positions (direct):
1 Sm 0.2500 0.3207 0.9294  5 N 2.46-2.72
2 Sm 0.7500 0.6793 0.0706  5 N 2.46-2.72
3 Pa 0.2500 0.1782 0.5321  6 N 2.23-2.41
4 Pa 0.7500 0.8218 0.4679  6 N 2.23-2.41
5 Pa 0.2500 0.4769 0.3146  7 N 2.24-2.50
6 Pa 0.7500 0.5231 0.6854  7 N 2.24-2.50
7 Pa 0.2500 0.9169 0.8299  6 N 2.25-2.38
8 Pa 0.7500 0.0831 0.1701  6 N 2.25-2.38
9 N 0.2500 0.4206 0.5522  4 Pa 2.23-2.39
10 N 0.7500 0.5794 0.4478  4 Pa 2.23-2.39
11 N 0.2500 0.9189 0.0737  3 Pa 2.25-2.38
12 N 0.7500 0.0811 0.9263  3 Pa 2.25-2.38
13 N 0.2500 0.9515 0.5946  4 Pa 2.28-2.34
14 N 0.7500 0.0485 0.4054  4 Pa 2.28-2.34
15 N 0.2500 0.7184 0.2987  3 Pa 2.30-2.41
16 N 0.7500 0.2816 0.7013  3 Pa 2.30-2.41
17 N 0.2500 0.5662 0.8795  3 Sm 2.46-2.55, 2 Pa 2.50
18 N 0.7500 0.4338 0.1205  3 Sm 2.46-2.55, 2 Pa 2.50
19 N 0.2500 0.2193 0.2721  3 Pa 2.26-2.34
20 N 0.7500 0.7807 0.7279  3 Pa 2.26-2.34

For the energy above the lowest structure with this stoichiometry, the calculation gives 0.000 eV per atom. The calculation puts the raw formation energy at -1.65 eV per atom. As for the density: 10.257 Mg/m³. The calculated volume is 15.02 Å³ per atom.

=====

Entry 4:
Below is a geometry-optimized GdY2Mg structure, with properties calculated at the PBE level.

Lattice parameters (Å, degrees): 3.6549 3.6549 9.0190 90.00 90.00 90.00
Closest atoms and distances in Å follow each position.
Positions (direct):
1 Y 0.0000 0.0000 0.7721  4 Mg 3.30, 4 Gd 3.56, 4 Y 3.65
2 Y 0.0000 0.0000 0.2279  4 Mg 3.30, 4 Gd 3.56, 4 Y 3.65
3 Mg 0.5000 0.5000 0.0000  8 Y 3.30, 4 Mg 3.65
4 Gd 0.5000 0.5000 0.5000  8 Y 3.56, 4 Gd 3.65

For the calculated formation energy, the calculation gives -0.13 eV/f.u. For the energy above the lowest structure with this stoichiometry, the calculation gives 0.000 eV per atom. As for the density: 4.953 Mg/m³. The calculated volume is 30.12 Å³ per atom.

=====

Entry 5:
Below is a geometry-optimized Ba2ThTe2O2 structure, with properties calculated at the PBE level.

Lattice parameters (Å, degrees): 4.6974 4.6974 9.7397 103.95 103.95 90.00
Closest atoms and distances in Å follow each position.
Positions (direct):
1 Ba 0.3743 0.3743 0.7485  4 O 3.29, 5 Te 3.44-3.65
2 Ba 0.6257 0.6257 0.2515  4 O 3.29, 5 Te 3.44-3.65
3 Th 0.0000 0.0000 0.0000  4 O 2.35
4 Te 0.1749 0.1749 0.3498  1 Th 3.20, 4 Ba 3.44
5 Te 0.8251 0.8251 0.6502  1 Th 3.20, 4 Ba 3.44
6 O 0.0000 0.5000 0.0000  2 Th 2.35
7 O 0.5000 0.0000 0.0000  2 Th 2.35

The calculation puts the raw formation energy at -2.42 eV per atom. As for the density: 6.525 Mg/m³. The calculated volume is 28.86 Å³ per atom.

=====

Entry 6:
Below is a geometry-optimized K3Dy2VSe6 structure, with properties calculated at the PBE level.

Lattice parameters (Å, degrees): 7.0864 7.0864 8.0203 98.52 98.52 120.03
Closest atoms and distances in Å follow each position.
Positions (direct):
1 K 0.1711 0.8289 0.5000  6 Se 3.26-3.38
2 K 0.8289 0.1711 0.5000  6 Se 3.26-3.38
3 K 0.5000 0.5000 0.5000  6 Se 3.25-3.42
4 Dy 0.3339 0.6661 0.0000  6 Se 2.88
5 Dy 0.6661 0.3339 0.0000  6 Se 2.88
6 V 0.0000 0.0000 0.0000  6 Se 2.67-2.68
7 Se 0.9341 0.6228 0.8023  1 V 2.67, 2 Dy 2.88
8 Se 0.7558 0.7558 0.1988  1 V 2.68, 2 Dy 2.88
9 Se 0.0659 0.3772 0.1977  1 V 2.67, 2 Dy 2.88
10 Se 0.6228 0.9341 0.8023  1 V 2.67, 2 Dy 2.88
11 Se 0.2442 0.2442 0.8012  1 V 2.68, 2 Dy 2.88
12 Se 0.3772 0.0659 0.1977  1 V 2.67, 2 Dy 2.88

The calculation puts the raw formation energy at -1.43 eV per atom. As for the density: 4.821 Mg/m³. The calculated volume is 27.75 Å³ per atom.

=====

Entry 7:
Below is a geometry-optimized CePaRh2 structure, with properties calculated at the PBE level.

Lattice parameters (Å, degrees): 4.3462 6.4162 6.8597 122.30 90.00 90.00
Closest atoms and distances in Å follow each position.
Positions (direct):
1 Ce 0.2500 0.1862 0.0932  6 Rh 2.95-3.11, 2 Ce 2.97
2 Ce 0.7500 0.8138 0.9068  6 Rh 2.95-3.11, 2 Ce 2.97
3 Pa 0.7500 0.7918 0.3958  4 Rh 2.75
4 Pa 0.2500 0.2082 0.6042  4 Rh 2.75
5 Rh 0.2500 0.6819 0.1120  2 Pa 2.75, 2 Ce 2.95, 2 Rh 2.95
6 Rh 0.7500 0.3181 0.8880  2 Pa 2.75, 2 Ce 2.95, 2 Rh 2.95
7 Rh 0.7500 0.3182 0.4302  2 Pa 2.75, 2 Ce 2.95, 2 Rh 2.95
8 Rh 0.2500 0.6818 0.5698  2 Pa 2.75, 2 Ce 2.95, 2 Rh 2.95

For the calculated formation energy, the calculation gives -2.92 eV/f.u. For the energy above the lowest structure with this stoichiometry, the calculation gives 0.000 eV per atom. As for the density: 11.851 Mg/m³. The calculated volume is 20.21 Å³ per atom.

=====

Entry 8:
Below is a geometry-optimized FeCuSi2 structure, with properties calculated at the PBE level.

Lattice parameters (Å, degrees): 7.7691 7.7691 7.7691 20.01 20.01 20.01
Closest atoms and distances in Å follow each position.
Positions (direct):
1 Cu 0.2500 0.2500 0.2500  6 Si 2.55, 6 Cu 2.70
2 Fe 0.7500 0.7500 0.7500  6 Si 2.37
3 Si 0.0052 0.0052 0.0052  3 Fe 2.37, 3 Cu 2.55
4 Si 0.4948 0.4948 0.4948  3 Fe 2.37, 3 Cu 2.55

The calculation puts the raw formation energy at -0.11 eV per atom. As for the density: 6.067 Mg/m³. The calculated volume is 12.01 Å³ per atom.

=====

Entry 9:
Below is a geometry-optimized CaCdI2O structure, with properties calculated at the PBE level.

Lattice parameters (Å, degrees): 6.1869 6.1869 4.1960 90.00 90.00 90.00
Closest atoms and distances in Å follow each position.
Positions (direct):
1 I 0.0000 0.5000 0.0000  2 Ca 3.09
2 I 0.5000 0.0000 0.0000  2 Ca 3.09
3 Ca 0.0000 0.0000 0.0000  2 O 2.10
4 O 0.0000 0.0000 0.5000  2 Ca 2.10
5 Cd 0.5000 0.5000 0.5000  8 I 3.74

For the energy above the lowest structure with this stoichiometry, the calculation gives 0.021 eV per atom. The calculation puts the raw formation energy at -0.72 eV per atom. As for the density: 4.366 Mg/m³. The calculated volume is 32.12 Å³ per atom.

=====

Entry 10:
Below is a geometry-optimized K3GaCl6 structure, with properties calculated at the PBE level.

Lattice parameters (Å, degrees): 7.6517 9.9881 9.9881 101.74 90.00 90.00
Closest atoms and distances in Å follow each position.
Positions (direct):
1 K 0.4587 0.8899 0.6912  2 Cl 2.97-2.98
2 K 0.9587 0.6912 0.8899  2 Cl 2.97-2.98
3 K 0.3762 0.4330 0.5670  4 Cl 3.06-3.10
4 K 0.8762 0.5670 0.4330  4 Cl 3.06-3.10
5 K 0.9587 0.1101 0.3088  2 Cl 2.97-2.98
6 K 0.4587 0.3088 0.1101  2 Cl 2.97-2.98
7 Ga 0.0661 0.1899 0.8101  4 Cl 2.19-2.22
8 Ga 0.5661 0.8101 0.1899  4 Cl 2.19-2.22
9 Cl 0.1574 0.6999 0.6355  4 K 2.97-3.10
10 Cl 0.6574 0.6355 0.6999  4 K 2.97-3.10
11 Cl 0.1740 0.3983 0.8813  1 Ga 2.22
12 Cl 0.6740 0.8813 0.3983  1 Ga 2.22
13 Cl 0.1825 0.0588 0.9412  1 Ga 2.22
14 Cl 0.7803 0.1858 0.8142  1 Ga 2.19
15 Cl 0.2803 0.8142 0.1858  1 Ga 2.19
16 Cl 0.6825 0.9412 0.0588  1 Ga 2.22
17 Cl 0.1740 0.1187 0.6017  1 Ga 2.22
18 Cl 0.6740 0.6017 0.1187  1 Ga 2.22
19 Cl 0.1574 0.3645 0.3001  4 K 2.97-3.10
20 Cl 0.6574 0.3001 0.3645  4 K 2.97-3.10

For the energy above the lowest structure with this stoichiometry, the calculation gives 0.000 eV per atom. The calculation puts the raw formation energy at -1.63 eV per atom. As for the density: 1.776 Mg/m³. The calculated volume is 37.37 Å³ per atom.